# Tb11Er9Th4

Tb11Er9Th4 after structural relaxation (PBE, the Alexandria database).

```
Tb11Er9Th4
1.0
8.369 -12.587 0.000
8.369 12.587 0.000
0.000 0.000 3.680
Tb Er Th
11 9 4
Direct
0.000 0.000 0.000
0.046 0.408 0.000
0.159 0.841 0.000
0.287 0.287 0.000
0.365 0.635 0.000
0.408 0.046 0.000
0.592 0.954 0.000
0.635 0.365 0.000
0.713 0.713 0.000
0.841 0.159 0.000
0.954 0.592 0.000
0.066 0.211 0.500
0.162 0.635 0.500
0.211 0.066 0.500
0.365 0.838 0.500
0.500 0.500 0.500
0.635 0.162 0.500
0.789 0.934 0.500
0.838 0.365 0.500
0.934 0.789 0.500
0.243 0.445 0.500
0.445 0.243 0.500
0.555 0.757 0.500
0.757 0.555 0.500
```

* E_tot: -119.0 eV for the cell shown
* space-group type: Cmmm (65)

=====

# Pm4TmTe5

Pm4TmTe5 after structural relaxation (PBE, the Alexandria database).

```
Pm4TmTe5
1.0
-2.192 2.192 16.092
2.192 -2.192 16.092
2.192 2.192 -16.092
Pm Tm Te
4 1 5
Direct
0.107 0.107 0.000
0.311 0.311 0.000
0.689 0.689 0.000
0.893 0.893 0.000
0.500 0.500 0.000
0.000 0.000 0.000
0.207 0.207 0.000
0.408 0.408 0.000
0.592 0.592 0.000
0.793 0.793 0.000
```

* E_tot: -52.8 eV for the cell shown
* space-group type: I4/mmm (139)